MnAgN2F: relaxed, PBE+U.

## Properties
uncorrected energy: -25.22 eV for the cell shown
magnetization: 0.11 μB/cell

Lattice parameters (Å, degrees): 3.6836 3.6836 4.1116 90.00 90.00 90.00
Closest atoms and distances in Å follow each position.
Atoms (fractional coordinates):
N1 0.5000 0.0000 0.0000  2 Mn 1.84
Mn1 0.0000 0.0000 0.0000  4 N 1.84, 2 F 2.06
F1 0.0000 0.0000 0.5000  2 Mn 2.06
N2 0.0000 0.5000 0.0000  2 Mn 1.84
Ag1 0.5000 0.5000 0.5000  4 F 2.60, 8 N 2.76